Compound: Tl3TcRh3S8
Source: Alexandria
Functional: PBE-GGA
Structure: optimized geometry

Space group ... C2/m
Crystal system ... monoclinic
V ... 21.60 Å³ per atom
Formation energy from raw total energies ... -0.367 eV per atom

Cell lengths 7.2388, 7.2383, 8.2714 Å; angles 115.99, 90.00, 119.95 degrees
Element x y z (fractional)
Tl (0.0000, 0.5000, 0.0000)
Tl (0.5000, 0.5000, 0.0000)
Tl (0.0000, 0.0000, 0.0000)
S (0.2251, 0.9477, 0.6727)
S (0.2254, 0.4504, 0.6726)
S (0.7746, 0.5496, 0.3274)
S (0.2774, 0.0524, 0.3273)
S (0.7226, 0.9476, 0.6727)
S (0.7749, 0.0523, 0.3273)
S (0.7211, 0.4420, 0.6632)
S (0.2789, 0.5580, 0.3368)
Rh (0.5000, 0.5000, 0.5000)
Rh (0.0000, 0.5000, 0.5000)
Rh (0.5000, 0.0000, 0.5000)
Tc (0.0000, 0.0000, 0.5000)

---

Compound: Li2YPt
Source: Alexandria
Functional: PBE-GGA
Structure: optimized geometry

Space group ... Fm-3m
Crystal system ... cubic
V ... 16.98 Å³ per atom
ΔE to the lowest computed polymorph ... 0.152 eV/atom

Cell lengths 4.5801, 4.5801, 4.5801 Å; angles 60.00, 60.00, 60.00 degrees
Element x y z (fractional)
Li (0.2500, 0.2500, 0.2500)
Li (0.7500, 0.7500, 0.7500)
Y (0.0000, 0.0000, 0.0000)
Pt (0.5000, 0.5000, 0.5000)

---

Compound: ThPa2Tc
Source: Alexandria
Functional: PBE-GGA
Structure: optimized geometry

Space group ... R-3m
Crystal system ... trigonal
V ... 23.74 Å³ per atom
ΔE to the lowest computed polymorph ... 0.267 eV/atom

Cell lengths 4.7785, 4.7785, 5.5389 Å; angles 64.45, 64.45, 60.00 degrees
Element x y z (fractional)
Pa (0.7387, 0.7387, 0.7839)
Pa (0.2613, 0.2613, 0.2161)
Th (0.5000, 0.5000, 0.5000)
Tc (0.0000, 0.0000, 0.0000)

---

Compound: CoMo2RuN
Source: Alexandria
Functional: PBE-GGA
Structure: optimized geometry

Space group ... P4/mmm
Crystal system ... tetragonal
V ... 12.60 Å³ per atom
Formation energy from raw total energies ... -0.054 eV per atom
ΔE to the lowest computed polymorph ... 0.000 eV/atom

Cell lengths 4.0856, 4.0856, 3.7739 Å; angles 90.00, 90.00, 90.00 degrees
Element x y z (fractional)
N (0.0000, 0.0000, 0.0000)
Ru (0.5000, 0.5000, 0.5000)
Mo (0.0000, 0.5000, 0.0000)
Mo (0.5000, 0.0000, 0.0000)
Co (0.0000, 0.0000, 0.5000)

---

Compound: HoErTm3Th
Source: Alexandria
Functional: PBE-GGA
Structure: optimized geometry

Raw total energy ... -4.959 eV per atom
Space group ... Cmcm
Crystal system ... orthorhombic
V ... 30.80 Å³ per atom

Cell lengths 4.9818, 7.8278, 9.9985 Å; angles 90.00, 90.00, 108.55 degrees
Element x y z (fractional)
Th (0.4997, 0.9994, 0.2500)
Th (0.5003, 0.0006, 0.7500)
Tm (0.3354, 0.6708, 0.9998)
Tm (0.1665, 0.3329, 0.7500)
Tm (0.8335, 0.6671, 0.2500)
Tm (0.3354, 0.6708, 0.5002)
Tm (0.6646, 0.3292, 0.0002)
Tm (0.6646, 0.3292, 0.4998)
Er (0.1666, 0.3333, 0.2500)
Er (0.8334, 0.6667, 0.7500)
Ho (0.0000, 0.0000, 0.0000)
Ho (0.0000, 0.0000, 0.5000)

---

Compound: Y2ZnAuN
Source: Alexandria
Functional: PBE-GGA
Structure: optimized geometry

Space group ... P4/mmm
Crystal system ... tetragonal
V ... 18.95 Å³ per atom
Formation energy from raw total energies ... -0.781 eV per atom

Cell lengths 4.8543, 4.8543, 4.0209 Å; angles 90.00, 90.00, 90.00 degrees
Element x y z (fractional)
Y (0.5000, 0.0000, 0.0000)
Y (0.0000, 0.5000, 0.0000)
N (0.0000, 0.0000, 0.0000)
Zn (0.0000, 0.0000, 0.5000)
Au (0.5000, 0.5000, 0.5000)